This record from Alexandria describes crystalline Pr3Si3Ir2 at its relaxed geometry. The functional is GGA-PBE.

Summary:
spin magnetization	0.000	μB per atom
ΔE_f (raw)	-831	meV per atom
polymorph energy (0 for the lowest one)	13	meV/atom
calculated volume	357.5	Å³ per cell
DFT total energy	-6.872	eV/atom

Cell lengths 4.167, 5.934, 15.442 Å; angles 90.00, 90.00, 110.56 degrees
Sites, in units of the cell vectors:
Pr 0.853 0.706 0.407
Pr 0.147 0.294 0.907
Pr 0.853 0.706 0.093
Pr 0.147 0.294 0.593
Pr 0.567 0.133 0.250
Pr 0.433 0.867 0.750
Si 0.575 0.150 0.446
Si 0.425 0.850 0.946
Si 0.575 0.150 0.054
Si 0.425 0.850 0.554
Si 0.278 0.555 0.250
Si 0.722 0.445 0.750
Ir 0.856 0.711 0.882
Ir 0.144 0.289 0.382
Ir 0.856 0.711 0.618
Ir 0.144 0.289 0.118



This record from Alexandria describes crystalline Pr2Si3Ir2 at its relaxed geometry. The functional is GGA-PBE.

Summary:
spin magnetization	0.000	μB per atom
ΔE_f (raw)	-782	meV per atom
polymorph energy (0 for the lowest one)	0	meV/atom
calculated volume	267.4	Å³ per cell
DFT total energy	-7.004	eV/atom

Cell lengths 4.276, 7.014, 9.167 Å; angles 90.00, 103.49, 90.00 degrees
Sites, in units of the cell vectors:
Pr 0.154 0.250 0.308
Pr 0.846 0.750 0.692
Pr 0.943 0.250 0.886
Pr 0.057 0.750 0.114
Si 0.227 0.750 0.453
Si 0.773 0.250 0.547
Si 0.562 0.431 0.124
Si 0.438 0.569 0.876
Si 0.438 0.931 0.876
Si 0.562 0.069 0.124
Ir 0.692 0.949 0.384
Ir 0.308 0.051 0.616
Ir 0.308 0.449 0.616
Ir 0.692 0.551 0.384



This record from Alexandria describes crystalline PrSi4Ir6 at its relaxed geometry. The functional is GGA-PBE.

Summary:
spin magnetization	0.000	μB per atom
ΔE_f (raw)	-828	meV per atom
calculated volume	167.4	Å³ per cell
DFT total energy	-8.068	eV/atom

Cell lengths 3.876, 7.062, 7.062 Å; angles 120.00, 90.00, 90.00 degrees
Sites, in units of the cell vectors:
Pr 0.000 0.000 0.000
Si 0.500 0.801 0.603
Si 0.500 0.397 0.199
Si 0.500 0.801 0.199
Si 0.000 0.333 0.667
Ir 0.000 0.533 0.066
Ir 0.500 0.601 0.800
Ir 0.000 0.533 0.467
Ir 0.000 0.934 0.467
Ir 0.500 0.200 0.800
Ir 0.500 0.200 0.399



This record from Alexandria describes crystalline Pr4SiIr3 at its relaxed geometry. The functional is GGA-PBE.

Summary:
spin magnetization	0.000	μB per atom
ΔE_f (raw)	-656	meV per atom
calculated volume	194.9	Å³ per cell
DFT total energy	-7.046	eV/atom

Cell lengths 4.266, 4.226, 10.811 Å; angles 90.00, 90.00, 90.00 degrees
Sites, in units of the cell vectors:
Pr 0.500 0.500 0.359
Pr 0.000 0.500 0.854
Pr 0.000 0.000 0.144
Pr 0.500 0.000 0.646
Si 0.500 0.500 0.061
Ir 0.000 0.500 0.577
Ir 0.000 0.000 0.421
Ir 0.500 0.000 0.937



This record from Alexandria describes crystalline Pr2Si3Ir5 at its relaxed geometry. The functional is GGA-PBE.

Summary:
spin magnetization	0.000	μB per atom
ΔE_f (raw)	-669	meV per atom
calculated volume	345.2	Å³ per cell
DFT total energy	-7.682	eV/atom

Cell lengths 4.168, 6.762, 12.427 Å; angles 90.00, 99.65, 90.00 degrees
Sites, in units of the cell vectors:
Pr 0.478 0.756 0.956
Pr 0.177 0.738 0.354
Pr 0.823 0.238 0.646
Pr 0.522 0.256 0.044
Si 0.769 0.726 0.537
Si 0.611 0.533 0.223
Si 0.053 0.953 0.106
Si 0.231 0.226 0.463
Si 0.947 0.453 0.894
Si 0.389 0.033 0.777
Ir 0.399 0.413 0.797
Ir 0.289 0.526 0.578
Ir 0.711 0.026 0.422
Ir 0.134 0.201 0.268
Ir 0.295 0.926 0.590
Ir 0.940 0.092 0.879
Ir 0.705 0.426 0.410
Ir 0.866 0.701 0.732
Ir 0.060 0.592 0.121
Ir 0.601 0.913 0.203



This record from Alexandria describes crystalline Pr4SiIr4 at its relaxed geometry. The functional is GGA-PBE.

Summary:
spin magnetization	0.000	μB per atom
ΔE_f (raw)	-654	meV per atom
calculated volume	424.8	Å³ per cell
DFT total energy	-7.319	eV/atom

Cell lengths 5.832, 8.535, 8.535 Å; angles 90.00, 90.00, 90.00 degrees
Sites, in units of the cell vectors:
Pr 0.104 0.538 0.185
Pr 0.104 0.962 0.315
Pr 0.604 0.815 0.038
Pr 0.604 0.685 0.462
Pr 0.896 0.462 0.815
Pr 0.896 0.038 0.685
Pr 0.396 0.185 0.962
Pr 0.396 0.315 0.538
Si 0.750 0.250 0.250
Si 0.250 0.750 0.750
Ir 0.097 0.643 0.521
Ir 0.097 0.857 0.979
Ir 0.597 0.479 0.143
Ir 0.597 0.021 0.357
Ir 0.903 0.357 0.479
Ir 0.903 0.143 0.021
Ir 0.403 0.521 0.857
Ir 0.403 0.979 0.643



This record from Alexandria describes crystalline Pr2Si6Ir9 at its relaxed geometry. The functional is GGA-PBE.

Summary:
spin magnetization	0.000	μB per atom
ΔE_f (raw)	-695	meV per atom
calculated volume	300.6	Å³ per cell
DFT total energy	-7.863	eV/atom

Cell lengths 5.672, 5.672, 10.789 Å; angles 90.00, 90.00, 120.00 degrees
Sites, in units of the cell vectors:
Pr 0.000 0.000 0.692
Pr 0.000 0.000 0.308
Si 0.333 0.667 0.000
Si 0.667 0.333 0.000
Si 0.333 0.667 0.666
Si 0.667 0.333 0.666
Si 0.667 0.333 0.334
Si 0.333 0.667 0.334
Ir 0.500 0.000 0.834
Ir 0.000 0.500 0.834
Ir 0.500 0.500 0.834
Ir 0.500 0.000 0.166
Ir 0.000 0.500 0.166
Ir 0.500 0.500 0.166
Ir 0.500 0.000 0.500
Ir 0.000 0.500 0.500
Ir 0.500 0.500 0.500



This record from Alexandria describes crystalline Pr3SiIr2 at its relaxed geometry. The functional is GGA-PBE.

Summary:
spin magnetization	0.000	μB per atom
ΔE_f (raw)	-683	meV per atom
calculated volume	598.5	Å³ per cell
DFT total energy	-6.931	eV/atom

Cell lengths 4.080, 12.492, 11.744 Å; angles 90.00, 90.00, 90.00 degrees
Sites, in units of the cell vectors:
Pr 0.250 0.385 0.063
Pr 0.750 0.615 0.937
Pr 0.750 0.885 0.437
Pr 0.250 0.115 0.563
Pr 0.250 0.700 0.192
Pr 0.750 0.300 0.808
Pr 0.750 0.200 0.308
Pr 0.250 0.800 0.692
Pr 0.250 0.449 0.371
Pr 0.750 0.551 0.629
Pr 0.750 0.949 0.129
Pr 0.250 0.051 0.871
Si 0.250 0.143 0.125
Si 0.750 0.857 0.875
Si 0.750 0.643 0.375
Si 0.250 0.357 0.625
Ir 0.250 0.682 0.470
Ir 0.750 0.318 0.530
Ir 0.750 0.182 0.030
Ir 0.250 0.818 0.970
Ir 0.250 0.029 0.308
Ir 0.750 0.971 0.692
Ir 0.750 0.529 0.192
Ir 0.250 0.471 0.808